## SrLiLa2Ni (PBE)

Data for an optimized crystal structure of SrLiLa2Ni. Values from VASP.

```
&SYSTEM
  ibrav = 0, nat = 5, ntyp = 4
/
ATOMIC_SPECIES
Sr 87.62 Sr.upf
Li 6.94 Li.upf
Ni 58.69 Ni.upf
La 138.91 La.upf
ATOMIC_POSITIONS angstrom
Sr -1.9602 0.3784 2.3416
Li -0.9243 -3.0191 3.7579
Ni 0.0000 0.0000 0.0000
La 1.8978 -0.8535 1.7266
La -0.8618 -2.5440 -0.3103
CELL_PARAMETERS angstrom
-1.7237 -5.0881 -0.6206
3.7955 -1.7070 3.4532
-3.9204 0.7569 4.6831
```

## Properties
- total moment (μB per cell) = 0.00
- formation energy (eV per atom) = 0.00
- energy relative to the lowest polymorph listed for this composition (kcal/mol of atoms) = 0.00
- symmetry = No. 123
- calculated density (g/cm³) = 3.98
- DOS(E_F) (states/eV/f.u.) = 5.50